[1]
Density functional theory data (PBE) for crystalline HgAu2Br at its relaxed geometry.

extended XYZ file:
```
4
Lattice="4.579 0.000 0.000 0.000 4.579 0.000 0.000 0.000 4.103" Properties=species:S:1:pos:R:3 pbc="T T T"
Hg 0.000 2.289 2.052
Br 2.289 0.000 2.052
Au 2.289 2.289 0.000
Au 0.000 0.000 0.000
```

The density of states at the Fermi level comes out at 0.33 states/eV per atom. The calculation puts the density at 13.0 Mg/m³. The final energy comes out at -7.2 eV for the cell shown. The calculation puts the uncorrected formation energy at 0.337 eV per atom. As for the crystal system: tetragonal. For the energy relative to the lowest polymorph listed for this composition, the calculation gives 0.3203 eV per atom.


[2]
Density functional theory data (PBE) for crystalline Ca2TlPbO4 at its relaxed geometry.

extended XYZ file:
```
16
Lattice="7.126 -0.003 -0.001 -0.008 7.126 -0.001 -3.526 -3.529 5.036" Properties=species:S:1:pos:R:3 pbc="T T T"
O 1.663 -1.741 4.933
O -1.614 -1.752 4.942
Ca -1.763 -1.764 2.518
O 3.588 -0.139 2.415
Pb -0.004 3.563 -0.001
Ca 1.800 -1.766 2.517
O 5.205 5.345 0.091
Tl 3.599 -3.532 5.034
O 3.571 3.710 2.423
Ca 3.559 3.561 -0.001
O 1.929 5.335 0.100
O 0.020 -0.117 2.610
Tl 1.795 1.797 2.517
O 0.003 3.732 2.618
Ca 3.563 -0.002 -0.001
Pb 5.358 1.795 2.516
```

The density of states at the Fermi level comes out at 0.54 states/eV per atom. The calculation puts the density at 7.2 Mg/m³. The final energy comes out at -88.4 eV for the cell shown. The calculation puts the uncorrected formation energy at -1.787 eV per atom. As for the crystal system: orthorhombic.


[3]
Density functional theory data (PBE) for crystalline CaPm3Pr6 at its relaxed geometry.

extended XYZ file:
```
20
Lattice="-5.690 1.233 -1.321 1.172 -4.013 -8.793 -3.507 -11.229 4.658" Properties=species:S:1:pos:R:3 pbc="T T T"
Pr -1.730 -8.250 -0.230
Pr -5.288 -2.517 -6.545
Pr 0.240 -6.736 -7.331
Pm -1.753 -5.615 2.329
Pr -4.971 -12.787 -3.981
Pr -8.265 -7.274 1.875
Pr -6.295 -5.760 -5.226
Ca 0.000 0.000 0.000
Pr -3.155 -4.027 -3.630
Pm -2.259 -1.390 -5.057
Pr -4.870 -9.983 -1.826
Pr -3.054 -1.222 -1.475
Pm -1.791 -11.100 -2.630
Ca -4.013 -7.005 -2.728
Pm -2.746 -5.336 -6.644
Pr -4.068 -4.445 -0.112
Pm -6.234 -2.909 -2.826
Pr -2.738 -11.492 1.089
Pr -3.958 -9.564 -5.344
Pm -5.279 -8.673 1.187
```

The density of states at the Fermi level comes out at 1.24 states/eV per atom. The calculation puts the density at 6.0 Mg/m³. The energy of formation comes out at 1.866 eV per formula unit. The final energy comes out at -86.1 eV for the cell shown. As for the crystal system: orthorhombic.


[4]
Density functional theory data (PBE) for crystalline Ti2SiSb2 at its relaxed geometry.

extended XYZ file:
```
10
Lattice="-0.253 -2.499 6.600 6.934 1.137 0.696 -0.730 3.627 1.345" Properties=species:S:1:pos:R:3 pbc="T T T"
Ti 2.374 0.015 1.246
Si 3.341 -0.681 3.648
Si 0.000 0.000 0.000
Sb 1.823 0.092 6.499
Sb 0.613 1.123 3.065
Sb 5.339 1.142 5.576
Sb 4.129 2.173 2.142
Ti 5.791 0.095 2.886
Ti 0.890 -1.457 4.410
Ti 4.308 -1.377 6.049
```

The density of states at the Fermi level comes out at 0.61 states/eV per atom. The calculation puts the density at 6.2 Mg/m³. The final energy comes out at -61.3 eV for the cell shown. The calculation puts the uncorrected formation energy at -0.236 eV per atom. As for the crystal system: tetragonal.


Look up the density of states at the Fermi level of the first one.
0.33 states/eV per atom